[1]
# LiTaMo2 | Alexandria | GGA-PBE | optimized geometry
data_LiTaMo2
_cell_length_a 2.6566
_cell_length_b 2.6566
_cell_length_c 9.3635
_cell_angle_alpha 90.00
_cell_angle_beta 90.00
_cell_angle_gamma 90.00
_space_group_name_H-M_alt 'P 4/m m m'
_space_group_IT_number 123
_space_group_name_Hall '-P 4 2'
loop_
_atom_site_label
_atom_site_fract_x
_atom_site_fract_y
_atom_site_fract_z
Li1 0.0000 0.0000 0.0000
Ta1 0.0000 0.0000 0.5000
Mo1 0.5000 0.5000 0.2480
# Relative energy among the computed polymorphs, eV/atom: 0.1141
# Calculated volume, Å³/cell: 66.08
# E_tot, Ha/atom: -0.3135

[2]
# Li2TaMo | Alexandria | GGA-PBE | optimized geometry
data_Li2TaMo
_cell_length_a 2.6149
_cell_length_b 4.8750
_cell_length_c 5.1526
_cell_angle_alpha 90.00
_cell_angle_beta 90.00
_cell_angle_gamma 90.00
_space_group_name_H-M_alt 'P m m m'
_space_group_IT_number 47
_space_group_name_Hall '-P 2 2'
loop_
_atom_site_label
_atom_site_fract_x
_atom_site_fract_y
_atom_site_fract_z
Li1 0.0000 0.0000 0.2428
Ta1 0.5000 0.5000 0.5000
Mo1 0.5000 0.5000 0.0000
# Relative energy among the computed polymorphs, eV/atom: 0.3118
# Calculated volume, Å³/cell: 65.68
# E_tot, Ha/atom: -0.2248

[3]
# LiTaMo2 | Alexandria | GGA-PBE | optimized geometry
data_LiTaMo2
_cell_length_a 2.6261
_cell_length_b 4.3935
_cell_length_c 5.6187
_cell_angle_alpha 90.00
_cell_angle_beta 90.00
_cell_angle_gamma 90.00
_space_group_name_H-M_alt 'P m m 2'
_space_group_IT_number 25
_space_group_name_Hall 'P 2 -2'
loop_
_atom_site_label
_atom_site_fract_x
_atom_site_fract_y
_atom_site_fract_z
Li1 0.0000 0.0000 0.0000
Ta1 0.5000 0.5000 0.7510
Mo1 0.0000 0.0000 0.4918
Mo2 0.5000 0.5000 0.2523
# Relative energy among the computed polymorphs, eV/atom: 0.1724
# Calculated volume, Å³/cell: 64.83
# E_tot, Ha/atom: -0.3114